# 1
MnFeAgF6 | GGA+U | optimized geometry

Summary:
As for the density of states at the Fermi level: 0.00 states/eV/atom. Its spin magnetization is 0.67 μB/atom.

Cell lengths 5.4256, 5.4256, 10.2575 Å; angles 90.00, 90.00, 120.00 degrees
Last column: nearest neighbours and their distance in Å.
Sites, in units of the cell vectors:
1 Mn 0.6667 0.3333 0.2500  6 F 1.93
2 Mn 0.3333 0.6667 0.7500  6 F 1.93
3 Fe 0.3333 0.6667 0.2500  6 F 2.11
4 Fe 0.6667 0.3333 0.7500  6 F 2.11
5 Ag 0.0000 0.0000 0.0000  6 F 2.51
6 Ag 0.0000 0.0000 0.5000  6 F 2.51
7 F 0.6435 0.6188 0.1475  1 Mn 1.93, 1 Fe 2.11
8 F 0.9753 0.3565 0.1475  1 Mn 1.93, 1 Fe 2.11
9 F 0.3565 0.9753 0.6475  1 Mn 1.93, 1 Fe 2.11
10 F 0.0247 0.6435 0.8525  1 Mn 1.93, 1 Fe 2.11
11 F 0.3812 0.3565 0.3525  1 Mn 1.93, 1 Fe 2.11
12 F 0.9753 0.6188 0.3525  1 Mn 1.93, 1 Fe 2.11
13 F 0.6188 0.9753 0.8525  1 Mn 1.93, 1 Fe 2.11
14 F 0.6435 0.0247 0.3525  1 Mn 1.93, 1 Fe 2.11
15 F 0.0247 0.3812 0.6475  1 Mn 1.93, 1 Fe 2.11
16 F 0.3812 0.0247 0.1475  1 Mn 1.93, 1 Fe 2.11
17 F 0.6188 0.6435 0.6475  1 Mn 1.93, 1 Fe 2.11
18 F 0.3565 0.3812 0.8525  1 Mn 1.93, 1 Fe 2.11

=====

# 2
MnFeAg2F6 | GGA+U | optimized geometry

Summary:
Its spin magnetization is 0.90 μB/atom.

Cell lengths 5.8743, 5.8594, 5.7677 Å; angles 60.13, 59.43, 59.81 degrees
Last column: nearest neighbours and their distance in Å.
Sites, in units of the cell vectors:
1 Mn 0.8162 0.8162 0.5514  6 F 2.14-2.16
2 Fe 0.3162 0.3162 0.0514  6 F 2.06-2.13
3 Ag 0.5628 0.5649 0.3049  3 F 2.39-2.42
4 Ag 0.0694 0.0674 0.7983  3 F 2.39-2.42
5 F 0.5689 0.1566 0.2972  1 Fe 2.12, 1 Mn 2.14
6 F 0.1573 0.9763 0.3013  1 Fe 2.13, 1 Mn 2.14, 1 Ag 2.39
7 F 0.9824 0.5585 0.2965  1 Fe 2.06, 1 Mn 2.16
8 F 0.4749 0.6560 0.8020  1 Fe 2.13, 1 Mn 2.14, 1 Ag 2.39
9 F 0.6499 0.0737 0.8065  1 Fe 2.06, 1 Mn 2.16
10 F 0.0636 0.4758 0.8056  1 Fe 2.12, 1 Mn 2.14

=====

no.,uncorrected energy (eV per atom)
1,-5.00
2,-4.93